! TlPtN2O | Alexandria via LeMat-Bulk | PBEsol | relaxed; values from VASP
! **Calculated total energy**: -5.535 eV per atom
! **Mass density**: 11413 kg/m³
! **Size of the total moment**: 0.001 μB per cell
! **Energy relative to the elements, uncorrected**: 844.2 meV per atom
! **SG**: P4/mmm
&SYSTEM
  ibrav = 0, nat = 5, ntyp = 4
/
ATOMIC_SPECIES
N 14.01 N.upf
O 16.00 O.upf
Tl 204.38 Tl.upf
Pt 195.08 Pt.upf
CELL_PARAMETERS angstrom
-2.506 2.595 -1.236
-2.062 -0.481 3.172
2.329 3.203 2.000
ATOMIC_POSITIONS angstrom
N -1.031 -0.240 1.586
N -1.253 1.297 -0.618
O 1.165 1.601 1.000
Tl -1.120 2.658 1.968
Pt 0.000 0.000 0.000